# Cs3Ga4Ag2 PBE optimized geometry
data_Cs3Ga4Ag2
_cell_length_a 4.7583
_cell_length_b 7.3465
_cell_length_c 9.3857
_cell_angle_alpha 93.52
_cell_angle_beta 104.52
_cell_angle_gamma 108.34
_space_group_name_H-M_alt 'P -1'
_space_group_IT_number 2
_space_group_name_Hall '-P 1'
loop_
_atom_site_label
_atom_site_fract_x
_atom_site_fract_y
_atom_site_fract_z
Cs1 0.0000 0.0000 0.0000
Cs2 0.2535 0.8685 0.6402
Ga1 0.3352 0.5774 0.0790
Ga2 0.4829 0.5790 0.3768
Ag1 0.0818 0.4079 0.7695
# DFT total energy (eV/atom): -2.2793
# ΔE_f (eV per atom): -0.016

---

# Tb2Y5Ho5 PBE optimized geometry
data_Tb2Y5Ho5
_cell_length_a 15.0577
_cell_length_b 5.0192
_cell_length_c 11.2251
_cell_angle_alpha 90.00
_cell_angle_beta 116.54
_cell_angle_gamma 90.00
_space_group_name_H-M_alt 'C 1 2/m 1'
_space_group_IT_number 12
_space_group_name_Hall '-C 2y'
loop_
_atom_site_label
_atom_site_fract_x
_atom_site_fract_y
_atom_site_fract_z
Tb1 0.0832 0.0000 0.2509
Y1 0.0000 0.0000 0.5000
Y2 0.1657 0.0000 0.9994
Y3 0.2498 0.0000 0.7490
Ho1 0.0000 0.5000 0.0000
Ho2 0.0826 0.5000 0.7498
Ho3 0.1671 0.5000 0.5001
# DFT total energy (eV/atom): -5.3507
# ΔE_f (eV per atom): 0.022

---

# CaNbV2Sn PBE optimized geometry
data_CaNbV2Sn
_cell_length_a 4.7090
_cell_length_b 4.7090
_cell_length_c 5.5605
_cell_angle_alpha 90.00
_cell_angle_beta 90.00
_cell_angle_gamma 90.00
_space_group_name_H-M_alt 'P 4/m m m'
_space_group_IT_number 123
_space_group_name_Hall '-P 4 2'
loop_
_atom_site_label
_atom_site_fract_x
_atom_site_fract_y
_atom_site_fract_z
Ca1 0.0000 0.0000 0.0000
Nb1 0.0000 0.0000 0.5000
V1 0.0000 0.5000 0.5000
Sn1 0.5000 0.5000 0.0000
# DFT total energy (eV/atom): -5.7407
# ΔE_f (eV per atom): 1.122

---

# TbAlZn2Ag4 PBE optimized geometry
data_TbAlZn2Ag4
_cell_length_a 4.5359
_cell_length_b 4.5359
_cell_length_c 25.2601
_cell_angle_alpha 90.00
_cell_angle_beta 90.00
_cell_angle_gamma 120.00
_space_group_name_H-M_alt 'R -3 m'
_space_group_IT_number 166
_space_group_name_Hall '-R 3 2"'
loop_
_atom_site_label
_atom_site_fract_x
_atom_site_fract_y
_atom_site_fract_z
Tb1 0.0000 0.0000 0.0000
Al1 0.0000 0.0000 0.5000
Zn1 0.0000 0.0000 0.2528
Ag1 0.0000 0.0000 0.1312
Ag2 0.0000 0.0000 0.3965
# DFT total energy (eV/atom): -2.9199
# ΔE_f (eV per atom): -0.129

---

# Ce12ZnRu6 PBE optimized geometry
data_Ce12ZnRu6
_cell_length_a 10.5437
_cell_length_b 10.5437
_cell_length_c 14.5158
_cell_angle_alpha 90.00
_cell_angle_beta 90.00
_cell_angle_gamma 120.00
_space_group_name_H-M_alt 'R -3'
_space_group_IT_number 148
_space_group_name_Hall '-R 3'
loop_
_atom_site_label
_atom_site_fract_x
_atom_site_fract_y
_atom_site_fract_z
Ce1 0.0426 0.1979 0.3192
Ce2 0.0773 0.5679 0.7714
Zn1 0.0000 0.0000 0.5000
Ru1 0.0047 0.5891 0.5741
# DFT total energy (eV/atom): -6.9215
# ΔE_f (eV per atom): -0.178

---

# Tb2Sm2Ho2In PBE optimized geometry
data_Tb2Sm2Ho2In
_cell_length_a 6.0496
_cell_length_b 5.8637
_cell_length_c 11.8748
_cell_angle_alpha 90.00
_cell_angle_beta 100.59
_cell_angle_gamma 90.00
_space_group_name_H-M_alt 'C 1 2/m 1'
_space_group_IT_number 12
_space_group_name_Hall '-C 2y'
loop_
_atom_site_label
_atom_site_fract_x
_atom_site_fract_y
_atom_site_fract_z
Tb1 0.1441 0.0000 0.2796
Sm1 0.2095 0.5000 0.4213
Ho1 0.0913 0.5000 0.1323
In1 0.0000 0.0000 0.0000
# DFT total energy (eV/atom): -4.3530
# ΔE_f (eV per atom): 0.017

---

Q: ΔE_f of number 6 (Tb2Sm2Ho2In)?
A: 0.017 eV per atom